## SrBe2Tc (GGA-PBE)

Data for a relaxed structure of SrBe2Tc.

Cell: 4.174 4.174 5.745 Å, 71.10 71.10 52.13°
Fractional positions:
Sr1 0.750 0.750 0.750
Be1 0.949 0.949 0.194
Tc1 0.250 0.250 0.250
Be2 0.551 0.551 0.306

Output
offset from the most stable computed form = 0.051 eV/atom
N(E_F) = 2.48 states/eV/f.u.
energy relative to the elements = 1.0 eV/f.u.
M_tot = 0.04 μB/atom

## ThPI (GGA-PBE)

Data for a relaxed structure of ThPI.

Cell: 3.995 4.209 18.071 Å, 89.94 103.85 90.00°
Fractional positions:
P1 0.496 0.073 0.227
Th1 0.674 0.072 0.392
I1 0.307 0.573 0.053
P2 0.140 0.572 0.361
Th2 0.963 0.573 0.197
I2 0.329 0.071 0.535

Output
formation energy (no corrections) = -1261 meV/atom
offset from the most stable computed form = 0.000 eV/atom
N(E_F) = 0.42 states/eV/f.u.
M_tot = 0.00 μB/atom

## LiRuO3 (GGA-PBE)

Data for a relaxed structure of LiRuO3.

Cell: 5.895 5.895 5.895 Å, 90.00 90.00 90.00°
Fractional positions:
O1 0.516 0.780 0.853
O2 0.720 0.147 0.016
O3 0.353 0.984 0.220
O4 0.220 0.353 0.984
Li1 0.370 0.630 0.130
Li2 0.630 0.130 0.370
O5 0.016 0.720 0.147
O6 0.280 0.647 0.484
O7 0.647 0.484 0.280
O8 0.484 0.280 0.647
O9 0.984 0.220 0.353
Ru1 0.413 0.087 0.913
Ru2 0.913 0.413 0.087
Li3 0.870 0.870 0.870
Ru3 0.587 0.587 0.587
O10 0.853 0.516 0.780
Li4 0.130 0.370 0.630
O11 0.147 0.016 0.720
Ru4 0.087 0.913 0.413
O12 0.780 0.853 0.516

Output
formation energy (no corrections) = -1157 meV/atom
N(E_F) = 4.00 states/eV/f.u.
M_tot = 0.00 μB/atom

## La8Pm2Mg3 (GGA-PBE)

Data for a relaxed structure of La8Pm2Mg3.

Cell: 5.611 14.060 12.092 Å, 152.06 90.00 90.00°
Fractional positions:
La1 0.500 0.738 0.167
La2 0.000 0.664 0.279
Mg1 0.000 0.173 0.925
Mg2 0.000 0.827 0.075
La3 0.500 0.591 0.740
Pm1 0.500 0.885 0.627
Pm2 0.500 0.115 0.373
La4 0.000 0.741 0.675
La5 0.000 0.336 0.721
La6 0.000 0.259 0.325
La7 0.500 0.409 0.260
La8 0.500 0.262 0.833
Mg3 0.500 0.000 0.000

Output
N(E_F) = 18.02 states/eV/f.u.
energy relative to the elements = 0.7 eV/f.u.
M_tot = 0.00 μB/atom

## RuPtSe2 (GGA-PBE)

Data for a relaxed structure of RuPtSe2.

Cell: 3.023 3.023 8.060 Å, 90.00 90.00 90.00°
Fractional positions:
Se1 0.500 0.500 0.311
Se2 0.000 0.000 0.923
Pt1 0.000 0.000 0.509
Ru1 0.500 0.500 0.757

Output
formation energy (no corrections) = 93 meV/atom
offset from the most stable computed form = 0.172 eV/atom
N(E_F) = 3.77 states/eV/f.u.
M_tot = 0.00 μB/atom

## CePr3P4 (GGA-PBE)

Data for a relaxed structure of CePr3P4.

Cell: 4.173 7.227 7.227 Å, 109.38 90.00 90.00°
Fractional positions:
Pr1 0.500 0.500 0.500
Ce1 0.500 0.000 0.000
P1 0.500 0.754 0.246
Pr2 0.000 0.500 0.000
P2 0.000 0.757 0.757
Pr3 0.000 0.000 0.500
P3 0.500 0.246 0.754
P4 0.000 0.243 0.243

Output
offset from the most stable computed form = 0.000 eV/atom
N(E_F) = 5.86 states/eV/f.u.
energy relative to the elements = -12.1 eV/f.u.
M_tot = 0.06 μB/atom

## AcLa2TbSe4 (GGA-PBE)

Data for a relaxed structure of AcLa2TbSe4.

Cell: 4.381 7.524 9.458 Å, 106.36 90.00 90.00°
Fractional positions:
Ac1 0.000 0.000 0.000
La1 0.000 0.500 0.500
La2 0.500 0.000 0.500
Se1 0.500 0.403 0.688
Tb1 0.500 0.500 0.000
Se2 0.000 0.894 0.671
Se3 0.000 0.106 0.329
Se4 0.500 0.597 0.312

Output
formation energy (no corrections) = -1464 meV/atom
N(E_F) = 3.98 states/eV/f.u.
M_tot = 0.00 μB/atom

## PmTh2Ta (GGA-PBE)

Data for a relaxed structure of PmTh2Ta.

Cell: 3.314 3.314 12.354 Å, 82.29 82.29 60.00°
Fractional positions:
Th1 0.080 0.080 0.760
Th2 0.920 0.920 0.240
Pm1 0.500 0.500 0.500
Ta1 0.000 0.000 0.000

Output
N(E_F) = 4.66 states/eV/f.u.
energy relative to the elements = 2.5 eV/f.u.
M_tot = 0.00 μB/atom